VASP calculation (meta-GGA SCAN) on a crystal of Pr5Ge3C relaxed with PBEsol.

The structure in extended XYZ format:
```
18
Lattice="6.706 0.000 0.000 0.000 8.820 0.000 0.000 -4.410 7.639" Properties=species:S:1:pos:R:3 pbc="T T T"
Pr 3.353 4.410 2.546
Pr 3.353 0.000 5.092
Pr 0.000 0.000 5.092
Pr 0.000 4.410 2.546
Pr 5.029 0.984 1.705
Pr 5.029 -3.426 5.933
Pr 5.029 6.851 0.000
Pr 1.676 3.426 5.933
Pr 1.676 -0.984 1.705
Pr 1.676 1.969 0.000
Ge 5.029 2.597 4.498
Ge 5.029 -1.813 3.140
Ge 5.029 3.626 0.000
Ge 1.676 1.813 3.140
Ge 1.676 -2.597 4.498
Ge 1.676 5.194 0.000
C 3.353 0.000 0.000
C 0.000 0.000 0.000
```

DOS(E_F)	17.426	states/eV per cell
raw total energy	-32.22	eV/atom
energy of formation	-64.2	kJ per mole of atoms